(1)
A relaxed structure of PrSm8Pb6. Source: Alexandria via LeMat-Bulk, functional PBE-GGA.

Calculated values
Calculated total energy, eV/atom: -4.7090
ΔH_f (0 K), kJ/mol of formula units: -565

Lattice parameters (Å, degrees): 8.5800 8.5800 8.5800 66.35 66.35 66.35
Sites, in units of the cell vectors:
Pr  0.0000  0.0000  0.0000
Sm  0.1042  0.7721  0.4337
Sm  0.2279  0.5663  0.8958
Sm  0.3330  0.3330  0.3330
Sm  0.4337  0.1042  0.7721
Sm  0.5663  0.8958  0.2279
Sm  0.6670  0.6670  0.6670
Sm  0.7721  0.4337  0.1042
Sm  0.8958  0.2279  0.5663
Pb  0.0688  0.4064  0.7326
Pb  0.2674  0.9312  0.5936
Pb  0.4064  0.7326  0.0688
Pb  0.5936  0.2674  0.9312
Pb  0.7326  0.0688  0.4064
Pb  0.9312  0.5936  0.2674



(2)
A relaxed structure of NpPaTcNi. Source: Alexandria via LeMat-Bulk, functional PBE-GGA.

Calculated values
Calculated total energy, eV/atom: -9.7484
ΔH_f (0 K), kJ/mol of formula units: -40

Lattice parameters (Å, degrees): 4.5823 4.5823 4.5823 60.00 60.00 60.00
Sites, in units of the cell vectors:
Np  0.0000  0.0000  0.0000
Pa  0.7500  0.7500  0.7500
Tc  0.5000  0.5000  0.5000
Ni  0.2500  0.2500  0.2500



(3)
A relaxed structure of Ho6As5. Source: Alexandria via LeMat-Bulk, functional PBE-GGA.

Calculated values
Calculated total energy, eV/atom: -5.9735
ΔH_f (0 K), kJ/mol of formula units: -1447

Lattice parameters (Å, degrees): 7.0331 7.0331 7.0534 99.59 99.59 119.92
Sites, in units of the cell vectors:
Ho  0.0785  0.4160  0.7491
Ho  0.2465  0.2465  0.2544
Ho  0.4160  0.0785  0.7491
Ho  0.5840  0.9215  0.2509
Ho  0.7535  0.7535  0.7456
Ho  0.9215  0.5840  0.2509
As  0.0000  0.0000  0.5000
As  0.1665  0.8335  0.0000
As  0.3331  0.6669  0.5000
As  0.6669  0.3331  0.5000
As  0.8335  0.1665  0.0000



(4)
A relaxed structure of Li2TbHo2Sb2. Source: Alexandria via LeMat-Bulk, functional PBE-GGA.

Calculated values
Formation energy without anion corrections, eV/atom: -0.54
Calculated total energy, eV/atom: -4.2303

Lattice parameters (Å, degrees): 9.1606 9.1606 9.1606 29.98 29.98 29.98
Sites, in units of the cell vectors:
Li  0.0930  0.0930  0.0930
Li  0.9070  0.9070  0.9070
Tb  0.5000  0.5000  0.5000
Ho  0.3696  0.3696  0.3696
Ho  0.6304  0.6304  0.6304
Sb  0.2358  0.2358  0.2358
Sb  0.7642  0.7642  0.7642



Among the records above, which one has the highest calculated total energy? Li2TbHo2Sb2



Which of these has the lowest calculated total energy? NpPaTcNi



Which value of calculated total energy does entry 1 give? -4.7090 eV/atom



Which value of calculated total energy does entry 4 give? -4.2303 eV/atom